# 1
# TaGe3Se

A geometry-optimized TaGe3Se structure (PBE, Alexandria via LeMat-Bulk).

Computed properties:
Energy above the lowest structure with this stoichiometry = 3.44 eV/f.u.
Formation energy without anion corrections = 125.63 kJ/mol of atoms

Cell and atoms, written as CIF:
```
data_TaGe3Se
_chemical_formula_sum 'Ta1 Ge3 Se1'
_cell_length_a 4.854
_cell_length_b 4.854
_cell_length_c 4.854
_cell_angle_alpha 90.00
_cell_angle_beta 90.00
_cell_angle_gamma 90.00
_symmetry_space_group_name_H-M 'P m -3 m'
_symmetry_Int_Tables_number 221
_symmetry_space_group_name_Hall '-P 4 2 3'
loop_
_atom_site_label
_atom_site_fract_x
_atom_site_fract_y
_atom_site_fract_z
Ta1 0.000 0.000 0.000
Ge1 0.000 0.500 0.500
Se1 0.500 0.500 0.500
```

# 2
# YRe2Te

A geometry-optimized YRe2Te structure (PBE, Alexandria via LeMat-Bulk).

Computed properties:
Formation energy without anion corrections = 31.80 kJ/mol of atoms

Cell and atoms, written as CIF:
```
data_YRe2Te
_chemical_formula_sum 'Y2 Re4 Te2'
_cell_length_a 3.691
_cell_length_b 5.189
_cell_length_c 9.025
_cell_angle_alpha 90.00
_cell_angle_beta 90.00
_cell_angle_gamma 90.00
_symmetry_space_group_name_H-M 'I m m 2'
_symmetry_Int_Tables_number 44
loop_
_symmetry_equiv_pos_as_xyz
'x,y,z'
'-x,-y,z'
'-x,y,z'
'x,-y,z'
'x+1/2,y+1/2,z+1/2'
'-x+1/2,-y+1/2,z+1/2'
'-x+1/2,y+1/2,z+1/2'
'x+1/2,-y+1/2,z+1/2'
loop_
_atom_site_label
_atom_site_fract_x
_atom_site_fract_y
_atom_site_fract_z
Y1 0.000 0.000 0.000
Re1 0.000 0.000 0.513
Re2 0.000 0.500 0.187
Te1 0.000 0.500 0.774
```

# 3
# LaP2Rh5Pb

A geometry-optimized LaP2Rh5Pb structure (PBE, Alexandria via LeMat-Bulk).

Computed properties:
DFT formation energy = -0.655 eV/atom

Cell and atoms, written as CIF:
```
data_LaP2Rh5Pb
_chemical_formula_sum 'La1 P2 Rh5 Pb1'
_cell_length_a 4.102
_cell_length_b 4.102
_cell_length_c 10.284
_cell_angle_alpha 90.00
_cell_angle_beta 90.00
_cell_angle_gamma 90.00
_symmetry_space_group_name_H-M 'P 4/m m m'
_symmetry_Int_Tables_number 123
_symmetry_space_group_name_Hall '-P 4 2'
loop_
_atom_site_label
_atom_site_fract_x
_atom_site_fract_y
_atom_site_fract_z
La1 0.000 0.000 0.000
P1 0.500 0.500 0.221
Rh1 0.000 0.500 0.316
Rh2 0.500 0.500 0.000
Pb1 0.000 0.000 0.500
```

# 4
# NdHoMgCd

A geometry-optimized NdHoMgCd structure (PBE, Alexandria via LeMat-Bulk).

Computed properties:
DFT formation energy = -0.200 eV/atom

Cell and atoms, written as CIF:
```
data_NdHoMgCd
_chemical_formula_sum 'Nd1 Ho1 Mg1 Cd1'
_cell_length_a 3.793
_cell_length_b 3.793
_cell_length_c 7.672
_cell_angle_alpha 90.00
_cell_angle_beta 90.00
_cell_angle_gamma 90.00
_symmetry_space_group_name_H-M 'P 4 m m'
_symmetry_Int_Tables_number 99
loop_
_symmetry_equiv_pos_as_xyz
'x,y,z'
'-y,x,z'
'-x,-y,z'
'y,-x,z'
'-x,y,z'
'y,x,z'
'x,-y,z'
'-y,-x,z'
loop_
_atom_site_label
_atom_site_fract_x
_atom_site_fract_y
_atom_site_fract_z
Nd1 0.000 0.000 0.000
Ho1 0.000 0.000 0.498
Mg1 0.500 0.500 0.738
Cd1 0.500 0.500 0.266
```

# 5
# Na4SnHg6

A geometry-optimized Na4SnHg6 structure (PBE, Alexandria via LeMat-Bulk).

Computed properties:
DFT formation energy = -0.159 eV/atom

Cell and atoms, written as CIF:
```
data_Na4SnHg6
_chemical_formula_sum 'Na16 Sn4 Hg24'
_cell_length_a 8.401
_cell_length_b 9.669
_cell_length_c 15.492
_cell_angle_alpha 90.00
_cell_angle_beta 90.00
_cell_angle_gamma 90.00
_symmetry_space_group_name_H-M 'F m m 2'
_symmetry_Int_Tables_number 42
_symmetry_space_group_name_Hall 'F 2 -2'
loop_
_atom_site_label
_atom_site_fract_x
_atom_site_fract_y
_atom_site_fract_z
Na1 0.000 0.216 0.000
Na2 0.242 0.000 0.830
Sn1 0.000 0.000 0.168
Hg1 0.000 0.250 0.305
Hg2 0.198 0.000 0.533
Hg3 0.250 0.250 0.159
```

Number 5 is which compound?
Na4SnHg6

Repeat the fifth record exactly.
# Na4SnHg6

A geometry-optimized Na4SnHg6 structure (PBE, Alexandria via LeMat-Bulk).

Computed properties:
DFT formation energy = -0.159 eV/atom

Cell and atoms, written as CIF:
```
data_Na4SnHg6
_chemical_formula_sum 'Na16 Sn4 Hg24'
_cell_length_a 8.401
_cell_length_b 9.669
_cell_length_c 15.492
_cell_angle_alpha 90.00
_cell_angle_beta 90.00
_cell_angle_gamma 90.00
_symmetry_space_group_name_H-M 'F m m 2'
_symmetry_Int_Tables_number 42
_symmetry_space_group_name_Hall 'F 2 -2'
loop_
_atom_site_label
_atom_site_fract_x
_atom_site_fract_y
_atom_site_fract_z
Na1 0.000 0.216 0.000
Na2 0.242 0.000 0.830
Sn1 0.000 0.000 0.168
Hg1 0.000 0.250 0.305
Hg2 0.198 0.000 0.533
Hg3 0.250 0.250 0.159
```

Number 5 is which compound?
Na4SnHg6